Entry 1:
A plane-wave DFT calculation with GGA-PBE was carried out for crystalline Rb3Pu2NpTe6 at its relaxed geometry.

Summary:
- space group = C2/m
- formation energy (no corrections) (kcal/mol of atoms) = -24.0
- crystal system = monoclinic
- D(E_F) (states/eV/f.u.) = 36.227

```
Rb3Pu2NpTe6
1.0
7.9737 -0.0011 0.0008
-3.9859 6.9059 0.0008
-1.3301 -2.3030 8.4947
Pu Te Rb Np
2 6 3 1
Direct
0.3334 0.6666 0.0000
0.6666 0.3334 0.0000
0.6034 0.9336 0.8009
0.2637 0.2637 0.8007
0.0664 0.3966 0.1991
0.9336 0.6034 0.8009
0.3966 0.0664 0.1991
0.7363 0.7363 0.1993
0.5000 0.5000 0.5000
0.8325 0.1675 0.5000
0.1675 0.8325 0.5000
0.0000 0.0000 0.0000
```


Entry 2:
A plane-wave DFT calculation with GGA-PBE was carried out for crystalline Rb4Pu3NpTe8 at its relaxed geometry.

Summary:
- space group = R-3m
- formation energy (no corrections) (kcal/mol of atoms) = -24.3
- crystal system = trigonal
- D(E_F) (states/eV/f.u.) = 50.064

```
Rb4Pu3NpTe8
1.0
9.2014 0.0000 0.0000
0.0000 10.0031 0.5598
-4.6007 -4.5955 6.5100
Te Pu Rb Np
8 3 4 1
Direct
0.7331 0.6993 0.4662
0.2644 0.3011 0.0328
0.2669 0.3007 0.5338
0.2316 0.6989 0.9672
0.2317 0.6989 0.4633
0.7684 0.3011 0.0328
0.7683 0.3011 0.5367
0.7356 0.6989 0.9672
0.0000 0.5000 0.5000
0.5000 0.5000 0.5000
0.5000 0.5000 0.0000
0.5000 0.0000 0.0000
0.5000 0.0000 0.5000
0.0000 0.0000 0.0000
0.0000 0.0000 0.5000
0.0000 0.5000 0.0000
```


Entry 3:
A plane-wave DFT calculation with GGA-PBE was carried out for crystalline Rb2PuNpTe4 at its relaxed geometry.

Summary:
- space group = P2/m
- formation energy (no corrections) (kcal/mol of atoms) = -23.1
- crystal system = monoclinic
- D(E_F) (states/eV/f.u.) = 23.273

```
Rb2PuNpTe4
1.0
4.5963 0.0000 0.0000
0.0000 7.9592 0.1703
0.0000 -2.8388 8.4480
Np Rb Te Pu
1 2 4 1
Direct
0.0000 0.0000 0.0000
0.0000 0.5000 0.5000
0.5000 0.0000 0.5000
0.5000 0.2307 0.1994
0.0000 0.2642 0.8005
0.5000 0.7693 0.8006
0.0000 0.7358 0.1995
0.5000 0.5000 0.0000
```


Entry 4:
A plane-wave DFT calculation with GGA-PBE was carried out for crystalline Rb3PuNp3Te8 at its relaxed geometry.

Summary:
- space group = C2/m
- formation energy (no corrections) (kcal/mol of atoms) = -20.3
- crystal system = monoclinic
- D(E_F) (states/eV/f.u.) = 35.467

```
Rb3PuNp3Te8
1.0
9.0833 0.0031 0.0027
-4.5390 7.8678 -0.0391
0.0008 -5.2084 8.6602
Rb Te Np Pu
3 8 3 1
Direct
0.0000 0.0000 0.0000
0.0000 0.5000 0.0000
0.5000 0.5000 0.0000
0.7335 0.4668 0.7003
0.7660 0.0384 0.3044
0.2665 0.5332 0.2997
0.2340 0.9616 0.6956
0.7282 0.9630 0.6973
0.2343 0.4692 0.6973
0.2718 0.0370 0.3027
0.7657 0.5308 0.3027
0.5000 0.0000 0.5000
0.5000 0.5000 0.5000
0.0000 0.5000 0.5000
0.0000 0.0000 0.5000
```


Entry 5:
A plane-wave DFT calculation with GGA-PBE was carried out for crystalline PuNpURe at its relaxed geometry.

Summary:
- energy of formation from the pure elements (meV per atom) = 192.5
- space group = F-43m
- crystal system = cubic
- D(E_F) (states/eV/f.u.) = 10.995

```
PuNpURe
1.0
-4.7044 0.4778 0.3543
-2.4254 -2.6475 3.0973
-1.8959 2.0030 3.8572
Pu Re U Np
1 1 1 1
Direct
0.2500 0.2500 0.2500
0.0000 0.0000 0.0000
0.7500 0.7500 0.7500
0.5000 0.5000 0.5000
```


Entry 6:
A plane-wave DFT calculation with GGA-PBE was carried out for crystalline Pu2NpRh at its relaxed geometry.

Summary:
- distance to the lowest polymorph of the same formula (meV/atom) = 0
- energy of formation from the pure elements (meV per atom) = -11.2
- space group = P4/mmm
- crystal system = tetragonal
- D(E_F) (states/eV/f.u.) = 14.979

```
Pu2NpRh
1.0
3.0733 0.0000 0.0000
0.0000 5.0363 0.0000
0.0000 0.0000 5.0363
Pu Rh Np
2 1 1
Direct
0.0000 0.0000 0.5000
0.0000 0.5000 0.0000
0.5000 0.5000 0.5000
0.5000 0.0000 0.0000
```


Entry 7:
A plane-wave DFT calculation with GGA-PBE was carried out for crystalline PuNpRh2 at its relaxed geometry.

Summary:
- distance to the lowest polymorph of the same formula (meV/atom) = 315
- energy of formation from the pure elements (meV per atom) = -11.8
- space group = R-3m
- crystal system = trigonal
- D(E_F) (states/eV/f.u.) = 9.655

```
PuNpRh2
1.0
-1.9812 -1.1121 -1.7707
0.6579 -2.2611 -1.6590
-3.4495 -7.3275 6.1185
Np Rh Pu
1 2 1
Direct
0.0000 0.0000 0.0000
0.7496 0.7496 0.7511
0.2504 0.2504 0.2489
0.5000 0.5000 0.5000
```


Entry 8:
A plane-wave DFT calculation with GGA-PBE was carried out for crystalline Pu5NpRh5 at its relaxed geometry.

Summary:
- energy of formation from the pure elements (meV per atom) = -208.9
- space group = C2/m
- crystal system = monoclinic
- D(E_F) (states/eV/f.u.) = 55.500

```
Pu5NpRh5
1.0
5.4982 0.0000 0.0000
-2.7491 6.5880 0.1517
0.0000 -2.4193 6.9755
Pu Rh Np
5 5 1
Direct
0.6806 0.3613 0.3188
0.6406 0.2812 0.7870
0.3194 0.6387 0.6812
0.3594 0.7188 0.2130
0.0000 0.0000 0.5000
0.1689 0.3379 0.3173
0.8311 0.6621 0.6827
0.1705 0.3409 0.8967
0.8295 0.6591 0.1033
0.5000 0.0000 0.0000
0.0000 0.0000 0.0000
```


Entry 9:
A plane-wave DFT calculation with GGA-PBE was carried out for crystalline Pu5NpRh6 at its relaxed geometry.

Summary:
- energy of formation from the pure elements (meV per atom) = -360.7
- space group = P2/m
- crystal system = monoclinic
- D(E_F) (states/eV/f.u.) = 48.219

```
Pu5NpRh6
1.0
4.6748 0.0019 -0.9712
-0.0029 6.8673 -0.0008
-0.8394 0.0006 7.6568
Pu Rh Np
5 6 1
Direct
0.3353 0.5000 0.6631
0.3372 0.0000 0.6667
0.6647 0.5000 0.3369
0.0000 0.5000 0.0000
0.6628 0.0000 0.3333
0.5000 0.7615 0.0000
0.8431 0.7532 0.6751
0.1569 0.2468 0.3249
0.1569 0.7532 0.3249
0.8431 0.2468 0.6751
0.5000 0.2385 0.0000
0.0000 0.0000 0.0000
```


Entry 10:
A plane-wave DFT calculation with GGA-PBE was carried out for crystalline Pu2Np2Rh15 at its relaxed geometry.

Summary:
- energy of formation from the pure elements (meV per atom) = -216.0
- space group = R-3m
- crystal system = trigonal
- D(E_F) (states/eV/f.u.) = 40.257

```
Pu2Np2Rh15
1.0
-4.6343 -1.1170 4.9736
4.3654 -0.2346 5.3243
-0.7213 6.5210 2.1018
Rh Np Pu
15 2 2
Direct
0.8384 0.3412 0.3412
0.3412 0.3412 0.8384
0.0000 0.6821 0.3179
0.0000 0.0000 0.5000
0.6588 0.1616 0.6588
0.5000 0.0000 0.0000
0.3179 0.0000 0.6821
0.6821 0.3179 0.0000
0.3412 0.8384 0.3412
0.6588 0.6588 0.1616
0.6821 0.0000 0.3179
0.1616 0.6588 0.6588
0.3179 0.6821 0.0000
0.0000 0.3179 0.6821
0.0000 0.5000 0.0000
0.9138 0.9138 0.9138
0.0862 0.0862 0.0862
0.6468 0.6468 0.6468
0.3532 0.3532 0.3532
```


Entry 11:
A plane-wave DFT calculation with GGA-PBE was carried out for crystalline Pu2NpRh6 at its relaxed geometry.

Summary:
- energy of formation from the pure elements (meV per atom) = -400.1
- space group = P-3m1
- crystal system = trigonal
- D(E_F) (states/eV/f.u.) = 24.060

```
Pu2NpRh6
1.0
5.4626 -0.0276 -0.0159
0.0300 5.9010 0.0062
0.0300 2.9454 5.1133
Rh Np Pu
6 1 2
Direct
0.3187 0.3611 0.8194
0.6812 0.1806 0.6389
0.3188 0.8194 0.3611
0.3188 0.8194 0.8195
0.6812 0.1806 0.1805
0.6813 0.6389 0.1806
0.0000 0.0000 0.0000
0.1773 0.3334 0.3333
0.8227 0.6666 0.6667
```